This record from Alexandria via LeMat-Bulk describes a relaxed SmTmTePb crystal. The functional is GGA-PBE.

Values from the calculation:
Magnetization   0.0 μB per cell
Electronic total energy   -19.7 eV/f.u.
Density   8.78 Mg/m³
Crystal system   trigonal

Cell and atoms, written as CIF:
```
data_SmTmTePb
_chemical_formula_sum 'Sm3 Tm3 Te3 Pb3'
_cell_length_a 4.4400
_cell_length_b 4.4400
_cell_length_c 21.7323
_cell_angle_alpha 90.00
_cell_angle_beta 90.00
_cell_angle_gamma 120.00
_symmetry_space_group_name_H-M 'R 3 m'
_symmetry_Int_Tables_number 160
_symmetry_space_group_name_Hall 'R 3 -2"'
loop_
_atom_site_label
_atom_site_type_symbol
_atom_site_fract_x
_atom_site_fract_y
_atom_site_fract_z
Sm1 Sm 0.0000 0.0000 0.0000
Tm1 Tm 0.0000 0.0000 0.5067
Te1 Te 0.0000 0.0000 0.7566
Pb1 Pb 0.0000 0.0000 0.2504
```